# CeSc2Si4

An optimized crystal structure of CeSc2Si4 (PBE-GGA, Alexandria via LeMat-Bulk).

a b c (Å): 8.9025 8.9025 8.9025
angles (deg): 155.22 153.39 36.67
Atoms (fractional coordinates):
Ce (0.0000, 0.0000, 0.0000)
Sc (0.1835, 0.6835, 0.5000)
Sc (0.8165, 0.3165, 0.5000)
Si (0.3453, 0.8453, 0.5000)
Si (0.4310, 0.4310, 0.0000)
Si (0.5690, 0.5690, 0.0000)
Si (0.6547, 0.1547, 0.5000)

- symmetry = Immm (71)
- VASP energy (eV for the cell shown) = -45.54
- crystal system = orthorhombic
- total magnetic moment (μB/cell) = 0.2
- calculated volume (Å³/atom) = 18.9
- formation energy from raw total energies (eV/f.u.) = -5.3


# Ce2Sc3Si4

An optimized crystal structure of Ce2Sc3Si4 (PBE-GGA, Alexandria via LeMat-Bulk).

a b c (Å): 7.4323 7.4308 7.1906
angles (deg): 90.00 108.54 90.00
Atoms (fractional coordinates):
Ce (0.1913, 0.1698, 0.0725)
Ce (0.1913, 0.3302, 0.5725)
Ce (0.8087, 0.6698, 0.4275)
Ce (0.8087, 0.8302, 0.9275)
Sc (0.2493, 0.6777, 0.2496)
Sc (0.2493, 0.8223, 0.7496)
Sc (0.5000, 0.0000, 0.5000)
Sc (0.5000, 0.5000, 0.0000)
Sc (0.7507, 0.1777, 0.2504)
Sc (0.7507, 0.3223, 0.7504)
Si (0.0783, 0.5350, 0.8694)
Si (0.0783, 0.9650, 0.3694)
Si (0.4937, 0.1217, 0.8718)
Si (0.4937, 0.3783, 0.3718)
Si (0.5063, 0.6217, 0.6282)
Si (0.5063, 0.8783, 0.1282)
Si (0.9217, 0.0350, 0.6306)
Si (0.9217, 0.4650, 0.1306)

- symmetry = P2_1/c (14)
- VASP energy (eV for the cell shown) = -118.98
- crystal system = monoclinic
- total magnetic moment (μB/cell) = 3.3
- calculated volume (Å³/atom) = 20.9
- formation energy from raw total energies (eV/f.u.) = -6.9


# CeSm2Sc

An optimized crystal structure of CeSm2Sc (PBE-GGA, Alexandria via LeMat-Bulk).

a b c (Å): 3.4946 3.4946 9.9062
angles (deg): 90.00 90.00 90.00
Atoms (fractional coordinates):
Ce (0.0000, 0.0000, 0.0000)
Sm (0.5000, 0.5000, 0.2570)
Sm (0.5000, 0.5000, 0.7430)
Sc (0.0000, 0.0000, 0.5000)

- symmetry = P4/mmm (123)
- relative energy among the computed polymorphs (meV per atom) = 9.1
- VASP energy (eV for the cell shown) = -21.35
- crystal system = tetragonal
- total magnetic moment (μB/cell) = 0.6
- energy of formation from the pure elements (meV per atom) = 89
- calculated volume (Å³/atom) = 30.2


# Ce2SmSc

An optimized crystal structure of Ce2SmSc (PBE-GGA, Alexandria via LeMat-Bulk).

a b c (Å): 3.4077 3.4077 9.9570
angles (deg): 90.00 90.00 90.00
Atoms (fractional coordinates):
Ce (0.0000, 0.0000, 0.2383)
Ce (0.0000, 0.0000, 0.7617)
Sm (0.5000, 0.5000, 0.5000)
Sc (0.5000, 0.5000, 0.0000)

- symmetry = P4/mmm (123)
- relative energy among the computed polymorphs (meV per atom) = 14.3
- VASP energy (eV for the cell shown) = -22.46
- crystal system = tetragonal
- total magnetic moment (μB/cell) = 1.4
- energy of formation from the pure elements (meV per atom) = 116
- calculated volume (Å³/atom) = 28.9


# CeSm2Sc

An optimized crystal structure of CeSm2Sc (PBE-GGA, Alexandria via LeMat-Bulk).

a b c (Å): 5.5969 5.5969 5.5969
angles (deg): 60.00 60.00 60.00
Atoms (fractional coordinates):
Ce (0.0000, 0.0000, 0.0000)
Sm (0.2500, 0.2500, 0.2500)
Sm (0.7500, 0.7500, 0.7500)
Sc (0.5000, 0.5000, 0.5000)

- symmetry = Fm-3m (225)
- relative energy among the computed polymorphs (meV per atom) = 114.9
- VASP energy (eV for the cell shown) = -20.93
- crystal system = cubic
- total magnetic moment (μB/cell) = 3.2
- energy of formation from the pure elements (meV per atom) = 194
- calculated volume (Å³/atom) = 31.0


# Ce2SmSc

An optimized crystal structure of Ce2SmSc (PBE-GGA, Alexandria via LeMat-Bulk).

a b c (Å): 12.3499 12.3499 12.3499
angles (deg): 15.07 15.07 15.07
Atoms (fractional coordinates):
Ce (0.0811, 0.0811, 0.0811)
Ce (0.9189, 0.9189, 0.9189)
Sm (0.5000, 0.5000, 0.5000)
Sc (0.0000, 0.0000, 0.0000)

- symmetry = R-3m (166)
- relative energy among the computed polymorphs (meV per atom) = 130.6
- VASP energy (eV for the cell shown) = -21.99
- crystal system = trigonal
- total magnetic moment (μB/cell) = 0.0
- energy of formation from the pure elements (meV per atom) = 232
- calculated volume (Å³/atom) = 27.7


# Ce2SmSc

An optimized crystal structure of Ce2SmSc (PBE-GGA, Alexandria via LeMat-Bulk).

a b c (Å): 4.7847 4.7847 5.0387
angles (deg): 90.00 90.00 90.00
Atoms (fractional coordinates):
Ce (0.0000, 0.5000, 0.0000)
Ce (0.5000, 0.0000, 0.0000)
Sm (0.0000, 0.0000, 0.5000)
Sc (0.5000, 0.5000, 0.5000)

- symmetry = P4/mmm (123)
- relative energy among the computed polymorphs (meV per atom) = 10.0
- VASP energy (eV for the cell shown) = -22.47
- crystal system = tetragonal
- total magnetic moment (μB/cell) = 1.6
- energy of formation from the pure elements (meV per atom) = 111
- calculated volume (Å³/atom) = 28.8


# Ce2SmSc

An optimized crystal structure of Ce2SmSc (PBE-GGA, Alexandria via LeMat-Bulk).

a b c (Å): 5.5376 5.5376 5.5376
angles (deg): 60.00 60.00 60.00
Atoms (fractional coordinates):
Ce (0.2500, 0.2500, 0.2500)
Ce (0.7500, 0.7500, 0.7500)
Sm (0.0000, 0.0000, 0.0000)
Sc (0.5000, 0.5000, 0.5000)

- symmetry = Fm-3m (225)
- relative energy among the computed polymorphs (meV per atom) = 134.4
- VASP energy (eV for the cell shown) = -21.98
- crystal system = cubic
- total magnetic moment (μB/cell) = 1.6
- energy of formation from the pure elements (meV per atom) = 236
- calculated volume (Å³/atom) = 30.0


Q: Which of these has the lowest calculated volume?
A: CeSc2Si4


What did the eighth record say?
# Ce2SmSc

An optimized crystal structure of Ce2SmSc (PBE-GGA, Alexandria via LeMat-Bulk).

a b c (Å): 5.5376 5.5376 5.5376
angles (deg): 60.00 60.00 60.00
Atoms (fractional coordinates):
Ce (0.2500, 0.2500, 0.2500)
Ce (0.7500, 0.7500, 0.7500)
Sm (0.0000, 0.0000, 0.0000)
Sc (0.5000, 0.5000, 0.5000)

- symmetry = Fm-3m (225)
- relative energy among the computed polymorphs (meV per atom) = 134.4
- VASP energy (eV for the cell shown) = -21.98
- crystal system = cubic
- total magnetic moment (μB/cell) = 1.6
- energy of formation from the pure elements (meV per atom) = 236
- calculated volume (Å³/atom) = 30.0